# NdYOs | Alexandria via LeMat-Bulk | GGA-PBE | optimized geometry
data_NdYOs
_chemical_formula_sum 'Nd2 Y2 Os2'
_symmetry_space_group_name_H-M 'I 4 m m'
_symmetry_Int_Tables_number 107
_symmetry_space_group_name_Hall 'I 4 -2'
_cell_length_a 3.4498
_cell_length_b 3.4498
_cell_length_c 13.5521
_cell_angle_alpha 90.00
_cell_angle_beta 90.00
_cell_angle_gamma 90.00
loop_
_atom_site_label
_atom_site_type_symbol
_atom_site_fract_x
_atom_site_fract_y
_atom_site_fract_z
Nd1 Nd 0.0000 0.0000 0.0000
Y1 Y 0.0000 0.0000 0.2494
Os1 Os 0.0000 0.0000 0.6291
# - mass density (g/cm³) = 8.72
# - calculated formation energy (eV/atom) = -0.11
# - relative energy among the computed polymorphs (eV/atom) = 0.0000


# Zr2N2O | Alexandria via LeMat-Bulk | GGA-PBE | optimized geometry
data_Zr2N2O
_chemical_formula_sum 'Zr8 N8 O4'
_symmetry_space_group_name_H-M 'P n m a'
_symmetry_Int_Tables_number 62
_cell_length_a 8.5978
_cell_length_b 3.1489
_cell_length_c 8.5491
_cell_angle_alpha 90.00
_cell_angle_beta 90.00
_cell_angle_gamma 90.00
loop_
_symmetry_equiv_pos_as_xyz
'x,y,z'
'-x,-y,-z'
'-x+1/2,-y,z+1/2'
'x+1/2,y,-z+1/2'
'x+1/2,-y+1/2,-z+1/2'
'-x+1/2,y+1/2,z+1/2'
'-x,y+1/2,-z'
'x,-y+1/2,z'
loop_
_atom_site_label
_atom_site_type_symbol
_atom_site_fract_x
_atom_site_fract_y
_atom_site_fract_z
Zr1 Zr 0.0051 0.2500 0.1783
Zr2 Zr 0.1813 0.2500 0.5008
N1 N 0.0472 0.7500 0.3667
N2 N 0.1245 0.2500 0.9440
O1 O 0.2265 0.7500 0.6894
# - mass density (g/cm³) = 6.50
# - formation energy without anion corrections (eV per formula unit) = -9.9


# La2BiO2 | Alexandria via LeMat-Bulk | GGA-PBE | optimized geometry
data_La2BiO2
_chemical_formula_sum 'La2 Bi1 O2'
_symmetry_space_group_name_H-M 'P 4/m m m'
_symmetry_Int_Tables_number 123
_symmetry_space_group_name_Hall '-P 4 2'
_cell_length_a 3.8811
_cell_length_b 3.8811
_cell_length_c 7.7685
_cell_angle_alpha 90.00
_cell_angle_beta 90.00
_cell_angle_gamma 90.00
loop_
_atom_site_label
_atom_site_type_symbol
_atom_site_fract_x
_atom_site_fract_y
_atom_site_fract_z
La1 La 0.0000 0.0000 0.1889
Bi1 Bi 0.5000 0.5000 0.5000
O1 O 0.0000 0.5000 0.0000
# - mass density (g/cm³) = 7.36
# - formation energy without anion corrections (eV per formula unit) = -10.8
# - relative energy among the computed polymorphs (eV/atom) = 0.5408